Record 1
First-principles (PBE-GGA) data for an optimized crystal structure of PuSbPb, as listed in the Open Quantum Materials Database.

POSCAR file:
```
PuSbPb
1.0
0.000 3.678 3.678
3.678 0.000 3.678
3.678 3.678 0.000
Pu Sb Pb
1 1 1
Direct
0.000 0.000 0.000
0.250 0.250 0.250
0.750 0.750 0.750
```

Values from the calculation:
Its density is 9.56 Mg/m³. Its space group is F-43m (216).

=====

Record 2
First-principles (PBE-GGA) data for an optimized crystal structure of Dy2Sc2Br5N, as listed in the Open Quantum Materials Database.

POSCAR file:
```
Dy2Sc2Br5N
1.0
-7.839 0.703 -4.476
-5.488 0.108 -7.200
0.231 -7.739 1.891
Br N Sc Dy
5 1 2 2
Direct
0.500 0.500 0.500
0.835 0.835 0.677
0.165 0.165 0.323
0.834 0.834 0.160
0.166 0.166 0.840
0.500 0.500 0.000
0.627 0.627 0.063
0.373 0.373 0.937
0.000 0.000 0.800
0.000 0.000 0.200
```

Values from the calculation:
Its density is 5.47 Mg/m³. Its space group is C2/m (12).

=====

Record 3
First-principles (PBE-GGA) data for an optimized crystal structure of AlZnW, as listed in the Open Quantum Materials Database.

POSCAR file:
```
AlZnW
1.0
3.758 -0.760 1.727
1.603 2.683 2.814
0.268 -1.110 4.048
Zn Al W
1 1 1
Direct
0.750 0.750 0.750
0.000 0.000 0.000
0.250 0.250 0.250
```

Values from the calculation:
Its density is 8.72 Mg/m³. Its space group is F-43m (216).

=====

Record 4
First-principles (PBE-GGA) data for an optimized crystal structure of Lu2Te2O5, as listed in the Open Quantum Materials Database.

POSCAR file:
```
Lu2Te2O5
1.0
-5.127 1.261 -7.198
2.619 -1.815 -2.184
-1.772 -3.366 0.672
O Te Lu
5 2 2
Direct
0.148 0.500 0.000
0.148 0.000 0.500
0.852 0.500 0.000
0.852 0.000 0.500
0.500 0.500 0.500
0.500 0.000 0.000
0.000 0.000 0.000
0.260 0.500 0.500
0.740 0.500 0.500
```

Values from the calculation:
Its density is 8.54 Mg/m³. Its space group is P4/mmm (123).

=====

Record 5
First-principles (PBE-GGA) data for an optimized crystal structure of CsTmTeO, as listed in the Open Quantum Materials Database.

POSCAR file:
```
CsTmTeO
1.0
4.805 0.000 0.000
0.000 9.007 0.000
0.000 0.000 7.148
O Cs Te Tm
2 2 2 2
Direct
0.500 0.940 0.741
0.500 0.060 0.241
0.000 0.709 0.609
0.000 0.291 0.109
0.000 0.281 0.610
0.000 0.719 0.110
0.500 0.901 0.031
0.500 0.099 0.531
```

Values from the calculation:
Its density is 4.78 Mg/m³. Its space group is Pmc2_1 (26).

=====

Record 6
First-principles (PBE-GGA) data for an optimized crystal structure of NaDyW, as listed in the Open Quantum Materials Database.

POSCAR file:
```
NaDyW
1.0
1.536 -3.410 3.209
-2.335 -4.329 0.300
2.196 -4.101 -1.625
Dy W Na
1 1 1
Direct
0.000 0.000 0.000
0.750 0.750 0.750
0.250 0.250 0.250
```

Values from the calculation:
Its density is 7.25 Mg/m³. Its space group is F-43m (216).

=====

Record 7
First-principles (PBE-GGA) data for an optimized crystal structure of CsPuCdSe3, as listed in the Open Quantum Materials Database.

POSCAR file:
```
CsPuCdSe3
1.0
2.184 -8.015 0.000
2.184 8.015 0.000
0.000 0.000 11.287
Se Cs Pu Cd
6 2 2 2
Direct
0.881 0.119 0.453
0.119 0.881 0.953
0.561 0.439 0.250
0.119 0.881 0.547
0.881 0.119 0.047
0.439 0.561 0.750
0.757 0.243 0.750
0.243 0.757 0.250
0.500 0.500 0.500
0.500 0.500 0.000
0.960 0.039 0.250
0.039 0.960 0.750
```

Values from the calculation:
Its density is 6.10 Mg/m³. Its space group is Cmcm (63).

=====

Record 8
First-principles (PBE-GGA) data for an optimized crystal structure of HfInAg3Te4, as listed in the Open Quantum Materials Database.

POSCAR file:
```
HfInAg3Te4
1.0
6.563 0.000 0.000
0.000 8.637 0.000
-2.587 0.000 10.074
Te Ag Hf In
8 6 2 2
Direct
0.608 0.013 0.248
0.608 0.487 0.248
0.841 0.250 0.566
0.392 0.513 0.752
0.159 0.750 0.434
0.392 0.987 0.752
0.954 0.750 0.975
0.046 0.250 0.025
0.671 0.250 0.788
0.715 0.480 0.998
0.285 0.520 0.002
0.715 0.020 0.998
0.285 0.980 0.002
0.329 0.750 0.212
0.166 0.250 0.784
0.834 0.750 0.216
0.298 0.250 0.445
0.702 0.750 0.555
```

Values from the calculation:
Its density is 6.56 Mg/m³. Its space group is P2_1/m (11).

=====

Record 9
First-principles (PBE-GGA) data for an optimized crystal structure of LiSmTeO, as listed in the Open Quantum Materials Database.

POSCAR file:
```
LiSmTeO
1.0
4.030 0.000 0.000
0.000 6.623 0.000
0.000 0.000 7.060
Sm Li Te O
2 2 2 2
Direct
0.500 0.034 0.449
0.500 0.966 0.949
0.000 0.678 0.646
0.000 0.322 0.146
0.000 0.260 0.719
0.000 0.740 0.219
0.500 0.205 0.177
0.500 0.795 0.677
```

Values from the calculation:
Its density is 5.30 Mg/m³. Its space group is Pmc2_1 (26).

=====

Record 10
First-principles (PBE-GGA) data for an optimized crystal structure of La2PdAu2, as listed in the Open Quantum Materials Database.

POSCAR file:
```
La2PdAu2
1.0
0.079 -0.849 -5.818
-3.151 -2.844 -4.070
-5.008 10.412 2.626
La Au Pd
4 4 2
Direct
0.981 0.981 0.655
0.184 0.184 0.115
0.019 0.019 0.345
0.816 0.816 0.885
0.644 0.644 0.558
0.356 0.356 0.442
0.458 0.458 0.109
0.542 0.542 0.891
0.298 0.298 0.692
0.702 0.702 0.308
```

Values from the calculation:
Its density is 10.25 Mg/m³. Its space group is C2/m (12).

=====

Record 11
First-principles (PBE-GGA) data for an optimized crystal structure of Dy2Ga2Ir3Pd, as listed in the Open Quantum Materials Database.

POSCAR file:
```
Dy2Ga2Ir3Pd
1.0
-2.203 0.715 3.670
3.207 -2.922 -0.071
5.944 6.468 2.307
Ga Dy Pd Ir
2 2 1 3
Direct
0.667 0.333 0.013
0.667 0.333 0.502
0.333 0.667 0.250
0.000 0.000 0.745
0.333 0.667 0.915
0.000 0.000 0.085
0.333 0.667 0.577
0.000 0.000 0.414
```

Values from the calculation:
Its density is 12.87 Mg/m³. Its space group is P3m1 (156).

=====

Record 12
First-principles (PBE-GGA) data for an optimized crystal structure of Tb3Nb3Re2N12, as listed in the Open Quantum Materials Database.

POSCAR file:
```
Tb3Nb3Re2N12
1.0
4.042 0.797 -10.291
7.732 -4.290 6.684
-8.920 -6.581 -0.033
Nb Tb N Re
12 12 48 8
Direct
0.250 0.625 0.375
0.875 0.125 0.750
0.625 0.375 0.250
0.250 0.125 0.875
0.875 0.250 0.125
0.750 0.875 0.125
0.375 0.250 0.625
0.125 0.750 0.875
0.125 0.875 0.250
0.750 0.375 0.625
0.375 0.625 0.750
0.625 0.750 0.375
0.625 0.875 0.750
0.125 0.375 0.750
0.375 0.125 0.250
0.750 0.625 0.875
0.875 0.625 0.250
0.875 0.750 0.625
0.375 0.750 0.125
0.125 0.250 0.375
0.625 0.250 0.875
0.750 0.125 0.375
0.250 0.875 0.625
0.250 0.375 0.125
0.326 0.918 0.302
0.418 0.092 0.616
0.092 0.616 0.418
0.408 0.826 0.524
0.616 0.698 0.524
0.326 0.908 0.024
0.082 0.884 0.408
0.418 0.826 0.802
0.698 0.524 0.616
0.884 0.976 0.802
0.582 0.908 0.384
0.092 0.976 0.674
0.174 0.198 0.582
0.302 0.476 0.384
0.918 0.302 0.326
0.384 0.582 0.908
0.116 0.592 0.918
0.198 0.582 0.174
0.524 0.408 0.826
0.198 0.116 0.024
0.082 0.698 0.674
0.616 0.418 0.092
0.674 0.082 0.698
0.976 0.802 0.884
0.908 0.024 0.326
0.698 0.674 0.082
0.674 0.092 0.976
0.592 0.174 0.476
0.582 0.174 0.198
0.302 0.326 0.918
0.908 0.384 0.582
0.524 0.616 0.698
0.826 0.524 0.408
0.408 0.082 0.884
0.174 0.476 0.592
0.826 0.802 0.418
0.476 0.384 0.302
0.976 0.674 0.092
0.802 0.884 0.976
0.802 0.418 0.826
0.384 0.302 0.476
0.884 0.408 0.082
0.024 0.198 0.116
0.116 0.024 0.198
0.476 0.592 0.174
0.918 0.116 0.592
0.592 0.918 0.116
0.024 0.326 0.908
0.000 0.000 0.500
0.500 0.500 0.500
0.000 0.000 0.000
0.000 0.500 0.000
0.500 0.500 0.000
0.500 0.000 0.500
0.500 0.000 0.000
0.000 0.500 0.500
```

Values from the calculation:
Its density is 8.21 Mg/m³. Its space group is Ia-3d (230).

=====

Total energy: -7.4176; -5.4381; -5.1280; -6.4989; -5.3316; -4.4410; -5.6052; -4.0431; -5.5790; -5.1633; -6.5560; -9.1500 (eV per atom)